1.
Entry from Alexandria via LeMat-Bulk: crystalline Ac2Sn2Ru2N at its relaxed geometry (PBE).

Properties
density	9.1	g cm⁻³
raw formation energy	-53.24	kJ/mol of atoms
DOS(E_F)	4.7	states/eV/cell
space-group type	No. 12
DFT total energy	-46.96	eV for the cell shown

a = 4.409 Å, b = 6.497 Å, c = 6.613 Å
α = 73.26°, β = 70.53°, γ = 70.17°
Atoms (fractional coordinates):
Ac1 0.552 0.175 0.720
Ac2 0.448 0.825 0.280
Sn1 0.169 0.375 0.287
Sn2 0.831 0.625 0.713
Ru1 0.178 0.712 0.933
Ru2 0.822 0.288 0.067
N1 0.000 0.000 0.000

---

2.
Entry from Alexandria via LeMat-Bulk: crystalline MgMo2Cl at its relaxed geometry (PBE).

Properties
density	6.0	g cm⁻³
excess energy over the best structure of this formula in the dataset	561	meV per atom
raw formation energy	50.62	kJ/mol of atoms
DOS(E_F)	4.0	states/eV/cell
space-group type	No. 47
DFT total energy	-23.00	eV for the cell shown

a = 2.994 Å, b = 4.435 Å, c = 5.282 Å
α = 90.00°, β = 90.00°, γ = 90.00°
Atoms (fractional coordinates):
Cl1 0.500 0.000 0.500
Mg1 0.000 0.500 0.500
Mo1 0.000 0.000 0.000
Mo2 0.500 0.500 0.000

---

> The lowest raw formation energy belongs to which entry?

Ac2Sn2Ru2N

---

> Which value of DOS(E_F) does entry 2 give?

4.0 states/eV/cell

---

> Among the records above, which one has the highest density?

Ac2Sn2Ru2N

---

> Look up the raw formation energy of the second one.

50.62 kJ/mol of atoms